# 1
A plane-wave DFT calculation with GGA-PBE was carried out for crystalline Ac2BiAsO8 at its relaxed geometry.

```
Ac2BiAsO8
1.0
5.615 0.000 0.000
-2.808 4.863 0.000
0.000 0.000 6.400
Ac Bi As O
2 1 1 8
Cartesian
0.000 3.242 2.258 Ac
2.808 1.621 4.142 Ac
0.000 0.000 0.000 Bi
0.000 0.000 3.200 As
0.000 1.500 4.299 O
-1.509 4.113 4.299 O
1.299 0.750 2.100 O
0.000 3.242 0.076 O
2.808 1.621 6.324 O
1.509 4.113 4.299 O
4.317 0.750 2.100 O
2.808 3.363 2.100 O
```

Values from the calculation:
Total moment = 2.0 μB/cell
Uncorrected energy = -6.398 eV/atom
Formation energy (no corrections) = -1.70 eV per atom
DOS at the Fermi energy = 1.73 states/eV/cell
SG = P-3m1, No. 164
Volume = 14.6 Å³/atom

# 2
A plane-wave DFT calculation with GGA-PBE was carried out for crystalline La2TbTm5 at its relaxed geometry.

```
La2TbTm5
1.0
-2.542 2.542 9.909
2.542 -2.542 9.909
2.542 2.542 -9.909
La Tb Tm
2 1 5
Cartesian
0.000 0.000 4.963 La
0.000 0.000 14.855 La
0.000 0.000 0.000 Tb
2.542 0.000 2.405 Tm
2.542 0.000 7.503 Tm
0.000 0.000 9.909 Tm
0.000 2.542 2.405 Tm
0.000 2.542 7.503 Tm
```

Values from the calculation:
Total moment = 0.0 μB/cell
Uncorrected energy = -4.568 eV/atom
Calculated formation energy = 0.0371 eV/atom
DOS at the Fermi energy = 13.34 states/eV/cell
SG = I4/mmm, No. 139
Volume = 32.0 Å³/atom

# 3
A plane-wave DFT calculation with GGA-PBE was carried out for crystalline CsCuNiS2 at its relaxed geometry.

```
CsCuNiS2
1.0
2.800 -6.927 0.000
2.800 6.927 0.000
0.000 0.000 6.057
Cs Cu Ni S
2 2 2 4
Cartesian
2.800 3.463 4.571 Cs
2.800 -3.463 1.486 Cs
0.000 0.000 0.000 Cu
2.800 0.000 0.000 Cu
1.400 0.000 3.028 Ni
4.199 0.000 3.028 Ni
2.800 5.654 1.756 S
2.800 1.272 1.756 S
2.800 -1.272 4.301 S
2.800 -5.654 4.301 S
```

Values from the calculation:
Total moment = 3.2 μB/cell
Uncorrected energy = -4.328 eV/atom
Formation energy (no corrections) = -0.53 eV per atom
DOS at the Fermi energy = 6.69 states/eV/cell
SG = Cmme, No. 67
Volume = 23.5 Å³/atom

# 4
A plane-wave DFT calculation with GGA-PBE was carried out for crystalline Na2ZnGeSe4 at its relaxed geometry.

```
Na2ZnGeSe4
1.0
8.006 0.000 0.000
0.000 8.149 0.000
0.000 0.000 6.913
Na Zn Ge Se
4 2 2 8
Cartesian
1.948 1.357 0.000 Na
2.055 6.792 3.456 Na
5.951 6.792 3.456 Na
6.058 1.357 0.000 Na
0.000 2.942 3.490 Zn
4.003 5.207 0.034 Zn
0.000 5.320 6.878 Ge
4.003 2.829 3.422 Ge
0.000 3.189 0.996 Se
0.000 5.163 4.502 Se
1.960 6.623 0.561 Se
2.043 1.526 4.018 Se
4.003 2.986 1.046 Se
4.003 4.960 4.452 Se
5.963 1.526 4.018 Se
6.046 6.623 0.561 Se
```

Values from the calculation:
Total moment = 0.0 μB/cell
Uncorrected energy = -3.513 eV/atom
Formation energy (no corrections) = -0.70 eV per atom
SG = Pmn2_1, No. 31
Volume = 28.2 Å³/atom

# 5
A plane-wave DFT calculation with GGA-PBE was carried out for crystalline CeCd2Hg2 at its relaxed geometry.

```
CeCd2Hg2
1.0
2.484 1.434 5.879
-2.484 1.434 5.879
0.000 -2.868 5.879
Ce Cd Hg
1 2 2
Cartesian
0.000 0.000 0.000 Ce
0.000 0.000 3.628 Cd
0.000 0.000 14.010 Cd
0.000 0.000 7.258 Hg
0.000 0.000 10.380 Hg
```

Values from the calculation:
Total moment = 0.9 μB/cell
Uncorrected energy = -1.893 eV/atom
Calculated formation energy = -0.2195 eV/atom
DOS at the Fermi energy = 8.25 states/eV/cell
SG = R-3m, No. 166
Volume = 25.1 Å³/atom

# 6
A plane-wave DFT calculation with GGA-PBE was carried out for crystalline AcEuCoPd at its relaxed geometry.

```
AcEuCoPd
1.0
0.000 3.646 3.646
3.646 0.000 3.646
3.646 3.646 0.000
Ac Eu Co Pd
1 1 1 1
Cartesian
0.000 0.000 0.000 Ac
3.646 3.646 3.646 Eu
1.823 1.823 1.823 Co
5.469 5.469 5.469 Pd
```

Values from the calculation:
Total moment = 6.4 μB/cell
Uncorrected energy = -6.864 eV/atom
Calculated formation energy = -0.1939 eV/atom
DOS at the Fermi energy = 10.20 states/eV/cell
SG = F-43m, No. 216
Volume = 24.2 Å³/atom

# 7
A plane-wave DFT calculation with GGA-PBE was carried out for crystalline Ho2TeSe at its relaxed geometry.

```
Ho2TeSe
1.0
2.038 1.177 7.257
-2.038 1.177 7.257
0.000 -2.353 7.257
Ho Te Se
2 1 1
Cartesian
0.000 0.000 0.000 Ho
0.000 0.000 4.078 Ho
0.000 0.000 9.278 Te
0.000 0.000 12.968 Se
```

Values from the calculation:
Total moment = 0.0 μB/cell
Uncorrected energy = -5.481 eV/atom
Formation energy (no corrections) = -1.54 eV per atom
DOS at the Fermi energy = 0.45 states/eV/cell
SG = R3m, No. 160
Volume = 26.1 Å³/atom

# 8
A plane-wave DFT calculation with GGA-PBE was carried out for crystalline DyPdPbAu at its relaxed geometry.

```
DyPdPbAu
1.0
0.000 3.520 3.520
3.520 0.000 3.520
3.520 3.520 0.000
Dy Pd Pb Au
1 1 1 1
Cartesian
0.000 0.000 0.000 Dy
1.760 1.760 1.760 Pd
3.520 3.520 3.520 Pb
5.280 5.280 5.280 Au
```

Values from the calculation:
Total moment = 0.0 μB/cell
Uncorrected energy = -4.820 eV/atom
Calculated formation energy = -0.6251 eV/atom
DOS at the Fermi energy = 2.26 states/eV/cell
SG = F-43m, No. 216
Volume = 21.8 Å³/atom

Q: What is the formula in the fifth record?
A: CeCd2Hg2

Q: Look up the uncorrected energy of the second one.
A: -4.568 eV/atom

What did the eighth record say?
A plane-wave DFT calculation with GGA-PBE was carried out for crystalline DyPdPbAu at its relaxed geometry.

```
DyPdPbAu
1.0
0.000 3.520 3.520
3.520 0.000 3.520
3.520 3.520 0.000
Dy Pd Pb Au
1 1 1 1
Cartesian
0.000 0.000 0.000 Dy
1.760 1.760 1.760 Pd
3.520 3.520 3.520 Pb
5.280 5.280 5.280 Au
```

Values from the calculation:
Total moment = 0.0 μB/cell
Uncorrected energy = -4.820 eV/atom
Calculated formation energy = -0.6251 eV/atom
DOS at the Fermi energy = 2.26 states/eV/cell
SG = F-43m, No. 216
Volume = 21.8 Å³/atom